1.
Ca2CdBi5 GGA-PBE relaxed; energy of formation = -0.377 eV per atom; E = -3.4175 eV per atom; symmetry = Pbam, No. 55
1.0
4.893 0.000 0.000
0.000 7.086 0.000
0.000 0.000 13.914
Bi Cd Ca
10 2 4
Direct
0.500 0.273 0.614
0.500 0.773 0.886
0.000 0.000 0.500
0.000 0.500 0.000
0.500 0.727 0.386
0.500 0.227 0.114
0.000 0.483 0.262
0.000 0.983 0.238
0.000 0.517 0.738
0.000 0.017 0.762
0.000 0.500 0.500
0.000 0.000 0.000
0.500 0.719 0.134
0.500 0.281 0.866
0.500 0.219 0.366
0.500 0.781 0.634


2.
CaCd2Bi2 GGA-PBE relaxed; energy of formation = -0.210 eV per atom; E = -2.5287 eV per atom; symmetry = P4/mbm, No. 127
1.0
-8.201 -1.942 -1.949
0.215 -6.561 5.633
-1.232 2.377 2.815
Bi Cd Ca
4 4 2
Direct
0.814 0.314 0.500
0.186 0.686 0.500
0.314 0.186 0.500
0.686 0.814 0.500
0.383 0.883 0.000
0.617 0.117 0.000
0.883 0.617 0.000
0.117 0.383 0.000
0.500 0.500 0.000
0.000 0.000 0.000


3.
Ca3Cd2Bi3 GGA-PBE relaxed; energy of formation = -0.508 eV per atom; E = -2.9426 eV per atom; symmetry = P-1, No. 2
1.0
4.436 -0.022 0.013
-0.025 4.899 0.186
2.243 1.482 10.956
Bi Cd Ca
3 2 3
Direct
0.500 0.500 0.000
0.665 0.066 0.730
0.335 0.934 0.270
0.748 0.728 0.505
0.252 0.272 0.495
0.154 0.573 0.741
0.846 0.427 0.259
0.000 0.000 0.000


4.
CaCd4Bi GGA-PBE relaxed; energy of formation = -0.164 eV per atom; E = -1.7547 eV per atom; symmetry = F-43m, No. 216
1.0
-1.182 -5.290 -2.668
3.571 -2.009 -4.440
3.625 -4.739 0.949
Bi Cd Ca
1 4 1
Direct
0.000 0.000 0.000
0.125 0.625 0.625
0.625 0.625 0.625
0.625 0.125 0.625
0.625 0.625 0.125
0.250 0.250 0.250


5.
CaCd3Bi GGA-PBE relaxed; energy of formation = 0.604 eV per atom; E above lowest polymorph = 0.310 eV/atom; E = -1.1212 eV per atom; symmetry = Pm-3m, No. 221
1.0
5.738 0.000 0.000
0.000 5.738 0.000
0.000 0.000 5.738
Cd Ca Bi
3 1 1
Direct
0.000 0.500 0.000
0.000 0.000 0.500
0.500 0.000 0.000
0.000 0.000 0.000
0.500 0.500 0.500


6.
CaCdBi2 GGA-PBE relaxed; energy of formation = -0.306 eV per atom; E = -2.9757 eV per atom; symmetry = I-42d, No. 122
1.0
-5.277 -6.702 -1.335
2.235 -3.287 7.665
-4.039 -3.303 4.625
Cd Ca Bi
2 2 4
Direct
0.750 0.250 0.500
0.000 0.000 0.000
0.250 0.750 0.500
0.500 0.500 0.000
0.875 0.909 0.750
0.375 0.341 0.750
0.659 0.125 0.250
0.091 0.625 0.250


7.
Ca5Cd2Bi5 GGA-PBE relaxed; energy of formation = -0.545 eV per atom; E = -3.1483 eV per atom; symmetry = I4mm, No. 107
1.0
7.043 0.000 3.581
3.522 7.328 1.790
0.201 0.000 8.323
Ca Bi Cd
5 5 2
Direct
0.112 0.000 0.413
0.112 0.413 0.000
0.526 0.587 0.000
0.526 0.000 0.587
0.871 0.000 0.000
0.302 0.710 0.710
0.013 0.710 0.290
0.723 0.290 0.290
0.013 0.290 0.710
0.470 0.000 0.000
0.763 0.500 0.500
0.263 0.500 0.500


8.
Ca2CdBiCl GGA-PBE relaxed; E = -2.7300 eV per atom; ΔE_f (raw) = -601 meV per atom; symmetry = P4/mmm, No. 123
1.0
-4.707 -2.603 -0.114
1.839 -3.490 3.738
-1.863 3.199 3.904
Cd Cl Ca Bi
1 1 2 1
Direct
0.000 0.500 0.000
0.000 0.000 0.000
0.000 0.000 0.500
0.500 0.000 0.000
0.500 0.500 0.500


9.
Cs2CaCdBi2 GGA-PBE relaxed; energy of formation = -0.540 eV per atom; E = -2.6045 eV per atom; symmetry = Ibam, No. 72
1.0
-2.664 3.256 -6.168
-2.607 -6.747 -2.436
-5.298 3.281 8.539
Cd Cs Ca Bi
2 4 2 4
Direct
0.500 0.750 0.000
0.500 0.250 0.000
0.562 0.825 0.651
0.089 0.325 0.651
0.438 0.175 0.349
0.911 0.675 0.349
0.000 0.250 0.000
0.000 0.750 0.000
0.832 0.095 0.190
0.643 0.405 0.810
0.168 0.905 0.810
0.357 0.595 0.190


10.
CaErCdBi GGA-PBE relaxed; energy of formation = -0.411 eV per atom; E = -3.2509 eV per atom; symmetry = F-43m, No. 216
1.0
-0.687 -1.730 5.124
-3.727 -3.821 1.110
1.582 -5.021 1.417
Cd Bi Er Ca
1 1 1 1
Direct
0.750 0.750 0.750
0.250 0.250 0.250
0.000 0.000 0.000
0.500 0.500 0.500


11.
CaEuCdBi GGA-PBE relaxed; energy of formation = -0.573 eV per atom; E = -4.8410 eV per atom; symmetry = F-43m, No. 216
1.0
5.602 0.000 0.000
2.801 4.852 0.000
2.801 1.617 4.574
Bi Cd Eu Ca
1 1 1 1
Direct
0.250 0.250 0.250
0.750 0.750 0.750
0.500 0.500 0.500
0.000 0.000 0.000


12.
CaCd2BiH GGA-PBE relaxed; E = -2.4208 eV per atom; symmetry = P4/mmm, No. 123
1.0
4.794 0.000 0.000
0.000 4.794 0.000
0.000 0.000 4.768
Cd Ca H Bi
2 1 1 1
Direct
0.500 0.000 0.000
0.000 0.500 0.000
0.000 0.000 0.500
0.000 0.000 0.000
0.500 0.500 0.500


13.
Ca2CdBiH GGA-PBE relaxed; E = -2.8924 eV per atom; symmetry = P4/mmm, No. 123
1.0
5.107 0.000 0.000
0.000 5.107 0.000
0.000 0.000 4.525
Cd Ca H Bi
1 2 1 1
Direct
0.000 0.000 0.500
0.500 0.000 0.000
0.000 0.500 0.000
0.000 0.000 0.000
0.500 0.500 0.500


14.
CaCdBiH GGA-PBE relaxed; E = -2.9160 eV per atom; symmetry = P4/nmm, No. 129
1.0
-0.606 3.713 -2.400
1.585 -2.079 -3.617
-8.368 -2.724 -2.101
H Bi Ca Cd
2 2 2 2
Direct
0.500 0.500 0.000
0.000 0.000 0.000
0.000 0.500 0.274
0.500 0.000 0.726
0.500 0.000 0.114
0.000 0.500 0.886
0.500 0.500 0.500
0.000 0.000 0.500


15.
CaCdHgBi GGA-PBE relaxed; energy of formation = -0.355 eV per atom; E = -2.1303 eV per atom; symmetry = F-43m, No. 216
1.0
-5.409 -0.378 -0.072
-2.377 -4.555 -1.735
-2.538 -3.246 3.525
Hg Cd Bi Ca
1 1 1 1
Direct
0.500 0.500 0.500
0.750 0.750 0.750
0.000 0.000 0.000
0.250 0.250 0.250


16.
CaCd2Hg4Bi GGA-PBE relaxed; energy of formation = -0.146 eV per atom; E = -1.2610 eV per atom; symmetry = P4/mmm, No. 123
1.0
5.868 0.000 0.000
0.000 5.868 0.000
0.000 0.000 6.430
Cd Ca Hg Bi
2 1 4 1
Direct
0.500 0.500 0.752
0.500 0.500 0.248
0.000 0.000 0.000
0.000 0.500 0.248
0.500 0.000 0.248
0.000 0.500 0.752
0.500 0.000 0.752
0.000 0.000 0.500


17.
Ca2CdInBi GGA-PBE relaxed; energy of formation = 0.126 eV per atom; E = -2.1814 eV per atom; symmetry = P4/mmm, No. 123
1.0
5.977 0.000 0.000
0.000 5.729 0.000
0.000 0.000 5.977
In Bi Cd Ca
1 1 1 2
Direct
0.000 0.000 0.000
0.000 0.500 0.000
0.500 0.500 0.500
0.500 0.000 0.000
0.000 0.000 0.500


18.
K2CaCdBi2 GGA-PBE relaxed; energy of formation = -0.524 eV per atom; E = -2.6693 eV per atom; symmetry = Ibam, No. 72
1.0
-4.838 1.559 -5.118
-0.807 -7.227 -1.438
-3.440 2.382 9.061
K Bi Ca Cd
4 4 2 2
Direct
0.094 0.324 0.649
0.906 0.676 0.351
0.445 0.176 0.351
0.555 0.824 0.649
0.367 0.607 0.213
0.633 0.393 0.787
0.154 0.893 0.787
0.846 0.107 0.213
0.000 0.750 0.000
0.000 0.250 0.000
0.500 0.750 0.000
0.500 0.250 0.000


19.
K2CaCd3Bi4 GGA-PBE relaxed; energy of formation = -0.344 eV per atom; E = -2.5910 eV per atom; symmetry = P-4m2, No. 115
1.0
-3.605 3.851 0.178
-0.557 -0.280 -5.241
-9.079 -8.565 1.423
Ca K Bi Cd
1 2 4 3
Direct
0.500 0.500 0.500
0.000 0.500 0.768
0.500 0.000 0.232
0.000 0.000 0.000
0.500 0.000 0.637
0.500 0.500 0.000
0.000 0.500 0.363
0.000 0.000 0.500
0.500 0.000 0.873
0.000 0.500 0.127


20.
CaLaCdBi GGA-PBE relaxed; energy of formation = -0.543 eV per atom; E = -3.4744 eV per atom; symmetry = F-43m, No. 216
1.0
5.581 0.000 0.000
2.791 4.833 0.000
2.791 1.611 4.557
Cd La Bi Ca
1 1 1 1
Direct
0.750 0.750 0.750
0.000 0.000 0.000
0.250 0.250 0.250
0.500 0.500 0.500